Record 1
HfAgPd: optimized geometry, PBE.

abc: 4.9797 4.9797 5.5866
angles: 103.29 103.29 118.97
Atoms (fractional coordinates):
Ag1 0.7825 0.2175 0.5000
Ag2 0.0325 0.9675 0.0000
Pd1 0.3672 0.6328 0.0000
Pd2 0.1172 0.8828 0.5000
Hf1 0.4437 0.5563 0.5000
Hf2 0.6937 0.3063 0.0000

Values from the calculation:
* SG: Fdd2, No. 43
* excess energy over the best structure of this formula in the dataset: 0.1362 eV per atom
* DOS at the Fermi energy: 3.740 states/eV per cell
* formation enthalpy at 0 K: -0.3526 eV/atom
* density: 12070 kg/m³

***

Record 2
HfAgPd3: optimized geometry, PBE.

abc: 4.3671 5.5841 7.5156
angles: 90.00 90.00 90.00
Atoms (fractional coordinates):
Ag1 0.0000 0.0000 0.5541
Ag2 0.5000 0.5000 0.4459
Pd1 0.0000 0.0000 0.9172
Pd2 0.5000 0.7575 0.7590
Pd3 0.5000 0.5000 0.0828
Pd4 0.0000 0.7425 0.2410
Pd5 0.5000 0.2425 0.7590
Pd6 0.0000 0.2575 0.2410
Hf1 0.5000 0.0000 0.1339
Hf2 0.0000 0.5000 0.8661

Values from the calculation:
* SG: Pmmn, No. 59
* excess energy over the best structure of this formula in the dataset: 0.0000 eV per atom
* DOS at the Fermi energy: 3.212 states/eV per cell
* formation enthalpy at 0 K: -0.4104 eV/atom
* density: 10974 kg/m³

***

Record 3
Hf2AgPd: optimized geometry, PBE.

abc: 3.3152 3.3152 6.9426
angles: 90.00 90.00 90.00
Atoms (fractional coordinates):
Hf1 0.0000 0.0000 0.2374
Hf2 0.0000 0.0000 0.7626
Pd1 0.5000 0.5000 0.0000
Ag1 0.5000 0.5000 0.5000

Values from the calculation:
* SG: P4/mmm, No. 123
* excess energy over the best structure of this formula in the dataset: 0.0000 eV per atom
* DOS at the Fermi energy: 4.095 states/eV per cell
* formation enthalpy at 0 K: -0.2644 eV/atom
* density: 12432 kg/m³

***

Record 4
HfAgPd: optimized geometry, PBE.

abc: 3.3382 6.0696 7.2366
angles: 51.69 103.42 105.94
Atoms (fractional coordinates):
Ag1 0.3298 0.2526 0.9057
Ag2 0.6702 0.7474 0.0943
Pd1 0.9987 0.7456 0.7501
Pd2 0.0013 0.2544 0.2499
Hf1 0.6502 0.2199 0.5804
Hf2 0.3498 0.7801 0.4196

Values from the calculation:
* SG: P-1, No. 2
* excess energy over the best structure of this formula in the dataset: 0.1825 eV per atom
* DOS at the Fermi energy: 5.103 states/eV per cell
* formation enthalpy at 0 K: -0.3064 eV/atom
* density: 11831 kg/m³